# 1
# LiCeScPt

Crystalline LiCeScPt at its relaxed geometry (GGA-PBE, Alexandria).

a b c (Å): 4.9026 4.9026 4.9026
angles (deg): 60.00 60.00 60.00
Last column: nearest neighbours and their distance in Å.
Sites, in units of the cell vectors:
1 Li 0.0000 0.0000 0.0000  4 Ce 3.00, 4 Sc 3.00
2 Ce 0.2500 0.2500 0.2500  4 Li 3.00, 4 Pt 3.00
3 Sc 0.7500 0.7500 0.7500  4 Li 3.00, 4 Pt 3.00
4 Pt 0.5000 0.5000 0.5000  4 Ce 3.00, 4 Sc 3.00

Calculated values
Total energy = -5.5612 eV per atom


# 2
# LiCeSc2Pt4

Crystalline LiCeSc2Pt4 at its relaxed geometry (GGA-PBE, Alexandria).

a b c (Å): 8.7379 8.7379 8.7379
angles (deg): 30.20 30.20 30.20
Last column: nearest neighbours and their distance in Å.
Sites, in units of the cell vectors:
1 Li 0.0000 0.0000 0.0000  8 Pt 2.64-2.81
2 Ce 0.5000 0.5000 0.5000  8 Pt 3.04-3.16
3 Sc 0.2642 0.2642 0.2642  7 Pt 2.73-2.78
4 Sc 0.7358 0.7358 0.7358  7 Pt 2.73-2.78
5 Pt 0.1055 0.1055 0.1055  1 Li 2.64, 3 Sc 2.78
6 Pt 0.3736 0.3736 0.3736  4 Sc 2.73-2.74, 3 Li 2.81
7 Pt 0.6264 0.6264 0.6264  4 Sc 2.73-2.74, 3 Li 2.81
8 Pt 0.8945 0.8945 0.8945  1 Li 2.64, 3 Sc 2.78

Calculated values
Total energy = -6.6235 eV per atom


# 3
# LiCeSi2Pt

Crystalline LiCeSi2Pt at its relaxed geometry (GGA-PBE, Alexandria).

a b c (Å): 5.9104 5.9104 5.9104
angles (deg): 139.54 139.54 58.55
Last column: nearest neighbours and their distance in Å.
Sites, in units of the cell vectors:
1 Li 0.0000 0.0000 0.0000  4 Si 2.48
2 Ce 0.7500 0.2500 0.5000  8 Si 3.12, 4 Pt 3.29, 4 Li 3.29
3 Si 0.1359 0.6359 0.5000  1 Si 2.35, 2 Li 2.48, 2 Pt 2.48
4 Si 0.3641 0.8641 0.5000  1 Si 2.35, 2 Li 2.48, 2 Pt 2.48
5 Pt 0.5000 0.5000 0.0000  4 Si 2.48

Calculated values
Formation energy without anion corrections = -876 meV/atom


# 4
# LiCe3Si6Pt2

Crystalline LiCe3Si6Pt2 at its relaxed geometry (GGA-PBE, Alexandria).

a b c (Å): 5.8262 5.8262 7.8462
angles (deg): 90.00 90.00 120.00
Last column: nearest neighbours and their distance in Å.
Sites, in units of the cell vectors:
1 Li 0.0000 0.0000 0.0000  6 Si 2.51
2 Ce 0.0000 0.0000 0.5000  6 Si 3.03, 6 Pt 3.38
3 Ce 0.3333 0.6667 0.1403  9 Si 2.97-3.05, 1 Pt 3.14
4 Ce 0.6667 0.3333 0.8597  9 Si 2.97-3.05, 1 Pt 3.14
5 Si 0.1918 0.3836 0.7971  1 Pt 2.47, 2 Si 2.47, 1 Li 2.51
6 Si 0.1918 0.8082 0.7971  1 Pt 2.47, 2 Si 2.47, 1 Li 2.51
7 Si 0.3836 0.1918 0.2029  1 Pt 2.47, 2 Si 2.47, 1 Li 2.51
8 Si 0.6164 0.8082 0.7971  1 Pt 2.47, 2 Si 2.47, 1 Li 2.51
9 Si 0.8082 0.1918 0.2029  1 Pt 2.47, 2 Si 2.47, 1 Li 2.51
10 Si 0.8082 0.6164 0.2029  1 Pt 2.47, 2 Si 2.47, 1 Li 2.51
11 Pt 0.3333 0.6667 0.5402  3 Si 2.47
12 Pt 0.6667 0.3333 0.4598  3 Si 2.47

Calculated values
Formation energy without anion corrections = -481 meV/atom


# 5
# LiCeSi2Pt2

Crystalline LiCeSi2Pt2 at its relaxed geometry (GGA-PBE, Alexandria).

a b c (Å): 4.2395 4.2395 6.6903
angles (deg): 90.00 90.00 120.00
Last column: nearest neighbours and their distance in Å.
Sites, in units of the cell vectors:
1 Li 0.0000 0.0000 0.0000  6 Si 2.75, 6 Pt 2.79
2 Ce 0.0000 0.0000 0.5000  6 Pt 3.16, 6 Si 3.21, 2 Li 3.35
3 Si 0.3333 0.6667 0.8113  4 Pt 2.45-2.61
4 Si 0.6667 0.3333 0.1887  4 Pt 2.45-2.61
5 Pt 0.3333 0.6667 0.2008  4 Si 2.45-2.61
6 Pt 0.6667 0.3333 0.7992  4 Si 2.45-2.61

Calculated values
Formation energy without anion corrections = -943 meV/atom


# 6
# Li2CeSiPt4

Crystalline Li2CeSiPt4 at its relaxed geometry (GGA-PBE, Alexandria).

a b c (Å): 8.5890 8.5890 8.5890
angles (deg): 28.73 28.73 28.73
Last column: nearest neighbours and their distance in Å.
Sites, in units of the cell vectors:
1 Li 0.2416 0.2416 0.2416  7 Pt 2.53-2.69
2 Li 0.7584 0.7584 0.7584  7 Pt 2.53-2.69
3 Ce 0.0000 0.0000 0.0000  6 Pt 2.97
4 Si 0.5000 0.5000 0.5000  8 Pt 2.45-2.58
5 Pt 0.1354 0.1354 0.1354  3 Si 2.58, 4 Li 2.62-2.69
6 Pt 0.4006 0.4006 0.4006  1 Si 2.45, 3 Li 2.53
7 Pt 0.5994 0.5994 0.5994  1 Si 2.45, 3 Li 2.53
8 Pt 0.8646 0.8646 0.8646  3 Si 2.58, 4 Li 2.62-2.69

Calculated values
Formation energy without anion corrections = -805 meV/atom